No. 1
Crystalline TcOs2Cl at its relaxed geometry. Source: Alexandria via LeMat-Bulk, functional GGA-PBE.

Cell and atoms, written as CIF:
```
data_TcOs2Cl
_cell_length_a 5.212
_cell_length_b 5.212
_cell_length_c 5.212
_cell_angle_alpha 148.34
_cell_angle_beta 128.25
_cell_angle_gamma 61.95
_space_group_name_H-M_alt 'P 1'
_space_group_IT_number 1
_space_group_name_Hall 'P 1'
loop_
_atom_site_label
_atom_site_type_symbol
_atom_site_fract_x
_atom_site_fract_y
_atom_site_fract_z
Os1 Os 0.752 0.252 0.500
Os2 Os 0.014 0.014 0.000
Tc1 Tc 0.480 0.480 0.000
Cl1 Cl 0.254 0.754 0.500
```

Output
polymorph energy (0 for the lowest one) = 0.5507 eV per atom
formation energy (no corrections) = 383.8 kJ/mol of formula units

=====

No. 2
Crystalline AlFeSi2 at its relaxed geometry. Source: Alexandria via LeMat-Bulk, functional GGA-PBE.

Cell and atoms, written as CIF:
```
data_AlFeSi2
_cell_length_a 5.676
_cell_length_b 4.322
_cell_length_c 2.871
_cell_angle_alpha 89.34
_cell_angle_beta 60.76
_cell_angle_gamma 119.63
_space_group_name_H-M_alt 'P 1'
_space_group_IT_number 1
_space_group_name_Hall 'P 1'
loop_
_atom_site_label
_atom_site_type_symbol
_atom_site_fract_x
_atom_site_fract_y
_atom_site_fract_z
Si1 Si 0.000 0.000 0.000
Si2 Si 0.500 0.000 0.500
Al1 Al 0.000 0.500 0.500
Fe1 Fe 0.500 0.500 0.000
```

Output
formation energy (no corrections) = 20.0 kJ/mol of formula units

=====

No. 3
Crystalline HfTaTiVGa at its relaxed geometry. Source: Alexandria via LeMat-Bulk, functional GGA-PBE.

Cell and atoms, written as CIF:
```
data_HfTaTiVGa
_cell_length_a 6.745
_cell_length_b 3.587
_cell_length_c 9.792
_cell_angle_alpha 90.00
_cell_angle_beta 133.17
_cell_angle_gamma 90.00
_space_group_name_H-M_alt 'P 1'
_space_group_IT_number 1
_space_group_name_Hall 'P 1'
loop_
_atom_site_label
_atom_site_type_symbol
_atom_site_fract_x
_atom_site_fract_y
_atom_site_fract_z
V1 V 0.919 0.000 0.458
Ta1 Ta 0.073 0.000 0.838
Hf1 Hf 0.502 0.000 0.642
V2 V 0.919 0.500 0.958
Hf2 Hf 0.502 0.500 0.142
Ga1 Ga 0.281 0.500 0.740
Ta2 Ta 0.073 0.500 0.338
Ga2 Ga 0.281 0.000 0.240
Ti1 Ti 0.698 0.000 0.024
Ti2 Ti 0.698 0.500 0.524
```

Output
polymorph energy (0 for the lowest one) = 0.1225 eV per atom
DFT formation energy = -0.07 eV/atom

=====

No. 4
Crystalline Be2FeCu at its relaxed geometry. Source: Alexandria via LeMat-Bulk, functional GGA-PBE.

Cell and atoms, written as CIF:
```
data_Be2FeCu
_cell_length_a 3.933
_cell_length_b 3.933
_cell_length_c 4.444
_cell_angle_alpha 81.97
_cell_angle_beta 81.97
_cell_angle_gamma 35.70
_space_group_name_H-M_alt 'P 1'
_space_group_IT_number 1
_space_group_name_Hall 'P 1'
loop_
_atom_site_label
_atom_site_type_symbol
_atom_site_fract_x
_atom_site_fract_y
_atom_site_fract_z
Be1 Be 0.501 0.501 0.522
Be2 Be 0.999 0.999 0.978
Cu1 Cu 0.250 0.250 0.250
Fe1 Fe 0.750 0.750 0.750
```

Output
DFT formation energy = 0.06 eV/atom